NiAsN2F (PBE+U, optimized geometry); density = 5.5 Mg/m³; DOS at the Fermi energy = 2.7 states/eV per cell; final energy = -4.289 eV per atom; offset from the most stable computed form = 75 meV per atom; space-group type = P4/mmm, No. 123
1.0
3.821 0.000 0.000
0.000 3.821 0.000
0.000 0.000 3.758
Ni As N F
1 1 2 1
Direct
0.000 0.000 0.000
0.500 0.500 0.500
0.000 0.500 0.000
0.500 0.000 0.000
0.000 0.000 0.500